Entry 1:
A relaxed CaZn3Pb crystal, computed with PBE-GGA.

```
data_CaZn3Pb
_chemical_formula_sum 'Ca1 Zn3 Pb1'
_cell_length_a 5.350
_cell_length_b 5.350
_cell_length_c 5.350
_cell_angle_alpha 90.00
_cell_angle_beta 90.00
_cell_angle_gamma 90.00
_space_group_name_H-M_alt 'P m -3 m'
_space_group_IT_number 221
_space_group_name_Hall '-P 4 2 3'
loop_
_atom_site_label
_atom_site_fract_x
_atom_site_fract_y
_atom_site_fract_z
Ca1 0.000 0.000 0.000
Zn1 0.000 0.500 0.500
Pb1 0.500 0.500 0.500
```

Computed properties:
For the density of states at the Fermi level, the calculation gives 0.63 states/eV per atom. For the formation energy from the elements, the calculation gives 0.381 eV/atom. As for the magnetic moment: 0.00 Bohr magnetons per cell.

=====

Entry 2:
A relaxed Ca5ZnPb4 crystal, computed with PBE-GGA.

```
data_Ca5ZnPb4
_chemical_formula_sum 'Ca5 Zn1 Pb4'
_cell_length_a 3.702
_cell_length_b 3.702
_cell_length_c 21.230
_cell_angle_alpha 90.00
_cell_angle_beta 90.00
_cell_angle_gamma 90.00
_space_group_name_H-M_alt 'P 4/m m m'
_space_group_IT_number 123
_space_group_name_Hall '-P 4 2'
loop_
_atom_site_label
_atom_site_fract_x
_atom_site_fract_y
_atom_site_fract_z
Ca1 0.000 0.000 0.000
Ca2 0.000 0.000 0.210
Ca3 0.000 0.000 0.415
Zn1 0.500 0.500 0.500
Pb1 0.500 0.500 0.105
Pb2 0.500 0.500 0.315
```

Computed properties:
For the density of states at the Fermi level, the calculation gives 0.31 states/eV per atom. For the formation energy from the elements, the calculation gives -0.489 eV/atom. As for the magnetic moment: 0.00 Bohr magnetons per cell.

=====

Entry 3:
A relaxed Ca2Zn5Pb crystal, computed with PBE-GGA.

```
data_Ca2Zn5Pb
_chemical_formula_sum 'Ca8 Zn20 Pb4'
_cell_length_a 4.447
_cell_length_b 16.644
_cell_length_c 9.320
_cell_angle_alpha 90.00
_cell_angle_beta 90.00
_cell_angle_gamma 90.00
_space_group_name_H-M_alt 'C m c m'
_space_group_IT_number 63
_space_group_name_Hall '-C 2c 2'
loop_
_atom_site_label
_atom_site_fract_x
_atom_site_fract_y
_atom_site_fract_z
Ca1 0.000 0.000 0.000
Ca2 0.000 0.200 0.250
Zn1 0.000 0.187 0.612
Zn2 0.000 0.342 0.514
Zn3 0.000 0.386 0.250
Pb1 0.000 0.448 0.750
```

Computed properties:
For the density of states at the Fermi level, the calculation gives 0.58 states/eV per atom. For the formation energy from the elements, the calculation gives -0.265 eV/atom. As for the magnetic moment: 0.00 Bohr magnetons per cell.

=====

Entry 4:
A relaxed CaZnPb2 crystal, computed with PBE-GGA.

```
data_CaZnPb2
_chemical_formula_sum 'Ca2 Zn2 Pb4'
_cell_length_a 6.707
_cell_length_b 10.403
_cell_length_c 3.553
_cell_angle_alpha 90.00
_cell_angle_beta 114.20
_cell_angle_gamma 90.00
_space_group_name_H-M_alt 'C 1 2/m 1'
_space_group_IT_number 12
loop_
_space_group_symop_operation_xyz
'x,y,z'
'-x,-y,-z'
'-x,y,-z'
'x,-y,z'
'x+1/2,y+1/2,z'
'-x+1/2,-y+1/2,-z'
'-x+1/2,y+1/2,-z'
'x+1/2,-y+1/2,z'
loop_
_atom_site_label
_atom_site_fract_x
_atom_site_fract_y
_atom_site_fract_z
Ca1 0.000 0.000 0.000
Zn1 0.000 0.500 0.000
Pb1 0.250 0.250 0.500
```

Computed properties:
For the density of states at the Fermi level, the calculation gives 0.46 states/eV per atom. For the formation energy from the elements, the calculation gives -0.101 eV/atom. As for the magnetic moment: 0.00 Bohr magnetons per cell.